# 1
# Sc4C3

An optimized crystal structure of Sc4C3 (PBE, Alexandria).

SG   Pm-3m
Raw total energy   -7.8719 eV/atom
Magnetization   0.4 μB per cell
Relative energy among the computed polymorphs   4.278 kcal/mol of atoms
Crystal system   cubic

Lattice parameters (Å, degrees): 4.665 4.665 4.665 90.00 90.00 90.00
Element x y z (fractional)
Sc1 0.000 0.000 0.000
Sc2 0.000 0.500 0.500
Sc3 0.500 0.000 0.500
Sc4 0.500 0.500 0.000
C1 0.000 0.000 0.500
C2 0.000 0.500 0.000
C3 0.500 0.000 0.000


# 2
# PrBiAsO

An optimized crystal structure of PrBiAsO (PBE, Alexandria).

SG   P4/nmm
Raw total energy   -5.9171 eV/atom
Magnetization   0.0 μB per cell
Crystal system   tetragonal

Lattice parameters (Å, degrees): 4.335 4.335 10.291 90.00 90.00 90.00
Element x y z (fractional)
Pr1 0.250 0.250 0.103
Pr2 0.750 0.750 0.897
Bi1 0.250 0.750 0.500
Bi2 0.750 0.250 0.500
As1 0.250 0.250 0.728
As2 0.750 0.750 0.272
O1 0.250 0.750 0.000
O2 0.750 0.250 0.000


# 3
# Re2TcAs

An optimized crystal structure of Re2TcAs (PBE, Alexandria).

SG   Cm
Raw total energy   -9.7591 eV/atom
Magnetization   0.0 μB per cell
Crystal system   monoclinic

Lattice parameters (Å, degrees): 9.095 2.985 4.626 90.00 106.17 90.00
Element x y z (fractional)
Re1 0.000 0.000 0.000
Re2 0.240 0.500 0.128
Re3 0.500 0.500 0.000
Re4 0.740 0.000 0.128
Tc1 0.012 0.500 0.512
Tc2 0.512 0.000 0.512
As1 0.252 0.000 0.651
As2 0.752 0.500 0.651


# 4
# ScAl3Co

An optimized crystal structure of ScAl3Co (PBE, Alexandria).

SG   Pnma
Raw total energy   -5.4345 eV/atom
Magnetization   0.0 μB per cell
Relative energy among the computed polymorphs   0.000 kcal/mol of atoms
Crystal system   orthorhombic

Lattice parameters (Å, degrees): 8.069 3.931 10.333 90.00 90.00 90.00
Element x y z (fractional)
Sc1 0.199 0.250 0.010
Sc2 0.301 0.750 0.510
Sc3 0.699 0.250 0.490
Sc4 0.801 0.750 0.990
Al1 0.049 0.250 0.583
Al2 0.099 0.750 0.789
Al3 0.157 0.750 0.221
Al4 0.343 0.250 0.721
Al5 0.401 0.250 0.289
Al6 0.451 0.750 0.083
Al7 0.549 0.250 0.917
Al8 0.599 0.750 0.711
Al9 0.657 0.750 0.279
Al10 0.843 0.250 0.779
Al11 0.901 0.250 0.211
Al12 0.951 0.750 0.417
Co1 0.124 0.250 0.358
Co2 0.376 0.750 0.858
Co3 0.624 0.250 0.142
Co4 0.876 0.750 0.642


# 5
# CaRuW2

An optimized crystal structure of CaRuW2 (PBE, Alexandria).

SG   Cm
Raw total energy   -8.7016 eV/atom
Magnetization   0.0 μB per cell
Relative energy among the computed polymorphs   3.280 kcal/mol of atoms
Crystal system   monoclinic

Lattice parameters (Å, degrees): 9.799 3.000 5.442 90.00 106.13 90.00
Element x y z (fractional)
Ca1 0.000 0.000 0.000
Ca2 0.500 0.500 0.000
Ru1 0.270 0.500 0.299
Ru2 0.770 0.000 0.299
W1 0.210 0.000 0.656
W2 0.485 0.000 0.487
W3 0.710 0.500 0.656
W4 0.985 0.500 0.487


# 6
# Na2PC2

An optimized crystal structure of Na2PC2 (PBE, Alexandria).

SG   P4/mbm
Raw total energy   -3.3452 eV/atom
Magnetization   0.0 μB per cell
Relative energy among the computed polymorphs   17.564 kcal/mol of atoms
Crystal system   tetragonal

Lattice parameters (Å, degrees): 8.373 8.373 2.069 90.00 90.00 90.00
Element x y z (fractional)
Na1 0.147 0.353 0.000
Na2 0.353 0.853 0.000
Na3 0.647 0.147 0.000
Na4 0.853 0.647 0.000
P1 0.000 0.000 0.000
P2 0.500 0.500 0.000
C1 0.148 0.648 0.500
C2 0.352 0.148 0.500
C3 0.648 0.852 0.500
C4 0.852 0.352 0.500


# 7
# Ga4CuRh3

An optimized crystal structure of Ga4CuRh3 (PBE, Alexandria).

SG   C2/m
Raw total energy   -5.2860 eV/atom
Magnetization   0.0 μB per cell
Crystal system   monoclinic

Lattice parameters (Å, degrees): 5.799 5.798 7.318 90.00 113.24 90.00
Element x y z (fractional)
Ga1 0.123 0.250 0.247
Ga2 0.123 0.750 0.247
Ga3 0.377 0.250 0.753
Ga4 0.377 0.750 0.753
Ga5 0.623 0.250 0.247
Ga6 0.623 0.750 0.247
Ga7 0.877 0.250 0.753
Ga8 0.877 0.750 0.753
Cu1 0.000 0.000 0.500
Cu2 0.500 0.500 0.500
Rh1 0.000 0.500 0.500
Rh2 0.239 0.500 0.977
Rh3 0.261 0.000 0.023
Rh4 0.500 0.000 0.500
Rh5 0.739 0.000 0.977
Rh6 0.761 0.500 0.023


# 8
# Rb2PuPbCl6

An optimized crystal structure of Rb2PuPbCl6 (PBE, Alexandria).

SG   Pmmn
Raw total energy   -4.7450 eV/atom
Magnetization   12.0 μB per cell
Crystal system   orthorhombic

Lattice parameters (Å, degrees): 7.884 11.335 8.311 90.00 90.00 90.00
Element x y z (fractional)
Rb1 0.250 0.042 0.192
Rb2 0.250 0.458 0.192
Rb3 0.750 0.542 0.808
Rb4 0.750 0.958 0.808
Pu1 0.250 0.750 0.776
Pu2 0.750 0.250 0.224
Pb1 0.250 0.250 0.717
Pb2 0.750 0.750 0.283
Cl1 0.004 0.750 0.020
Cl2 0.020 0.250 0.437
Cl3 0.250 0.504 0.786
Cl4 0.250 0.996 0.786
Cl5 0.480 0.250 0.437
Cl6 0.496 0.750 0.020
Cl7 0.504 0.250 0.980
Cl8 0.520 0.750 0.563
Cl9 0.750 0.004 0.214
Cl10 0.750 0.496 0.214
Cl11 0.980 0.750 0.563
Cl12 0.996 0.250 0.980


# 9
# Na2Ag2Au

An optimized crystal structure of Na2Ag2Au (PBE, Alexandria).

SG   C2/c
Raw total energy   -2.4349 eV/atom
Magnetization   0.0 μB per cell
Relative energy among the computed polymorphs   0.000 kcal/mol of atoms
Crystal system   monoclinic

Lattice parameters (Å, degrees): 5.718 5.718 8.305 104.25 104.25 60.80
Element x y z (fractional)
Na1 0.026 0.287 0.150
Na2 0.287 0.026 0.650
Na3 0.713 0.974 0.350
Na4 0.974 0.713 0.850
Ag1 0.241 0.506 0.507
Ag2 0.494 0.759 0.993
Ag3 0.506 0.241 0.007
Ag4 0.759 0.494 0.493
Au1 0.297 0.703 0.250
Au2 0.703 0.297 0.750


# 10
# UTe2H2

An optimized crystal structure of UTe2H2 (PBE, Alexandria).

SG   Cmcm
Raw total energy   -5.1028 eV/atom
Magnetization   3.2 μB per cell
Relative energy among the computed polymorphs   0.000 kcal/mol of atoms
Crystal system   orthorhombic

Lattice parameters (Å, degrees): 5.668 5.668 6.028 90.00 90.00 75.91
Element x y z (fractional)
U1 0.147 0.853 0.750
U2 0.853 0.147 0.250
Te1 0.301 0.301 0.000
Te2 0.301 0.301 0.500
Te3 0.699 0.699 0.000
Te4 0.699 0.699 0.500
H1 0.125 0.875 0.099
H2 0.125 0.875 0.401
H3 0.875 0.125 0.599
H4 0.875 0.125 0.901


# 11
# Dy8TmSc6

An optimized crystal structure of Dy8TmSc6 (PBE, Alexandria).

SG   P-3
Raw total energy   -5.0371 eV/atom
Magnetization   0.0 μB per cell
Relative energy among the computed polymorphs   1.373 kcal/mol of atoms
Crystal system   trigonal

Lattice parameters (Å, degrees): 9.017 9.017 6.363 90.00 90.00 120.00
Element x y z (fractional)
Dy1 0.037 0.692 0.111
Dy2 0.308 0.345 0.111
Dy3 0.333 0.667 0.780
Dy4 0.345 0.037 0.889
Dy5 0.655 0.963 0.111
Dy6 0.667 0.333 0.220
Dy7 0.692 0.655 0.889
Dy8 0.963 0.308 0.889
Tm1 0.000 0.000 0.500
Sc1 0.068 0.397 0.402
Sc2 0.329 0.932 0.402
Sc3 0.397 0.329 0.598
Sc4 0.603 0.671 0.402
Sc5 0.671 0.068 0.598
Sc6 0.932 0.603 0.598


# 12
# BaAc2TiO6

An optimized crystal structure of BaAc2TiO6 (PBE, Alexandria).

SG   P4mm
Raw total energy   -7.8070 eV/atom
Magnetization   0.0 μB per cell
Crystal system   tetragonal

Lattice parameters (Å, degrees): 5.721 5.721 5.828 90.00 90.00 90.00
Element x y z (fractional)
Ba1 0.000 0.000 0.000
Ac1 0.000 0.500 0.453
Ac2 0.500 0.000 0.453
Ti1 0.500 0.500 0.091
O1 0.000 0.000 0.568
O2 0.277 0.277 0.217
O3 0.277 0.723 0.217
O4 0.500 0.500 0.777
O5 0.723 0.277 0.217
O6 0.723 0.723 0.217